DFT (PBE with a Hubbard U) results for CrWOF2 after structural relaxation.

Calculated values
Electronic total energy in eV/atom: -5.71
Excess energy over the best structure of this formula in the dataset in meV/atom: 409
DOS(E_F) in states/eV/f.u.: 1.9

Lattice parameters (Å, degrees): 4.0710 4.0710 4.0714 90.00 90.00 90.00
Site moments in Bohr magnetons follow the coordinates.
Sites, in units of the cell vectors:
O: 0.0000 0.0000 0.5000  -0.13
Cr: 0.0000 0.0000 0.0000  3.50
F: 0.5000 0.0000 0.0000  0.06
F: 0.0000 0.5000 0.0000  0.06
W: 0.5000 0.5000 0.5000  3.69